1.
This record from Alexandria describes a relaxed FeNi crystal. The functional is PBE.

The calculation puts the formation energy at 1.2097 eV per atom.

a b c (Å): 5.174 5.174 5.174
angles (deg): 90.00 90.00 90.00
Space group F-43m (No. 216)
Inequivalent atoms, fractional coordinates:
Fe1 0.000 0.000 0.000
Ni1 0.250 0.250 0.750

---

2.
This record from Alexandria describes a relaxed LaInI2N crystal. The functional is PBE.

For the uncorrected formation energy, the calculation gives -537 meV per atom. For the energy above the most stable polymorph in this dataset, the calculation gives 0 meV/atom.

a b c (Å): 6.590 6.590 4.209
angles (deg): 90.00 90.00 90.00
Space group P4/mmm (No. 123)
Inequivalent atoms, fractional coordinates:
La1 0.000 0.000 0.000
In1 0.500 0.500 0.500
I1 0.000 0.500 0.000
N1 0.000 0.000 0.500

---

3.
This record from Alexandria describes a relaxed Mn4GeSe8 crystal. The functional is PBE.

For the uncorrected formation energy, the calculation gives -407 meV per atom.

a b c (Å): 7.2658 7.2658 19.2706
angles (deg): 90.00 90.00 120.00
Space group R-3m (No. 166, hexagonal axes)
Inequivalent atoms, fractional coordinates:
Mn1 0.0000 0.0000 0.0000
Mn2 0.0000 0.5000 0.0000
Ge1 0.0000 0.0000 0.5000
Se1 0.0000 0.0000 0.2620
Se2 0.0051 0.5025 0.2589

---

4.
This record from Alexandria describes a relaxed K5Bi2Te5 crystal. The functional is PBE.

For the uncorrected formation energy, the calculation gives -707 meV per atom.

a b c (Å): 15.236 5.206 13.897
angles (deg): 90.00 108.40 90.00
Space group C2/m (No. 12)
Inequivalent atoms, fractional coordinates:
K1 0.000 0.000 0.000
K2 0.158 0.000 0.550
K3 0.247 0.000 0.854
Bi1 0.048 0.500 0.292
Te1 0.000 0.500 0.500
Te2 0.108 0.500 0.896
Te3 0.160 0.000 0.291

---

5.
This record from Alexandria describes a relaxed NaYSb3 crystal. The functional is PBE.

For the uncorrected formation energy, the calculation gives 4 meV per atom. For the energy above the most stable polymorph in this dataset, the calculation gives 0 meV/atom.

a b c (Å): 5.823 5.823 5.823
angles (deg): 90.00 90.00 90.00
Space group Pm-3m (No. 221)
Inequivalent atoms, fractional coordinates:
Na1 0.000 0.000 0.000
Y1 0.500 0.500 0.500
Sb1 0.000 0.500 0.500

---

6.
This record from Alexandria describes a relaxed BaSc2Cu crystal. The functional is PBE.

The calculation puts the formation energy at 0.4483 eV per atom. For the energy above the most stable polymorph in this dataset, the calculation gives 351 meV/atom.

a b c (Å): 7.275 7.275 7.275
angles (deg): 90.00 90.00 90.00
Space group Fm-3m (No. 225)
Inequivalent atoms, fractional coordinates:
Ba1 0.000 0.000 0.000
Sc1 0.250 0.250 0.250
Cu1 0.000 0.000 0.500

---

7.
This record from Alexandria describes a relaxed SmMgCuSe3 crystal. The functional is PBE.

For the uncorrected formation energy, the calculation gives -1236 meV per atom.

a b c (Å): 7.965 3.936 8.751
angles (deg): 90.00 102.32 90.00
Space group P2_1/m (No. 11)
Inequivalent atoms, fractional coordinates:
Sm1 0.184 0.250 0.246
Mg1 0.339 0.750 0.842
Cu1 0.076 0.250 0.579
Se1 0.096 0.250 0.865
Se2 0.247 0.750 0.516
Se3 0.421 0.750 0.155

---

8.
This record from Alexandria describes a relaxed Ca2CdPBr crystal. The functional is PBE.

For the uncorrected formation energy, the calculation gives -100 meV per atom.

a b c (Å): 5.571 5.571 5.006
angles (deg): 90.00 90.00 90.00
Space group P4/mmm (No. 123)
Inequivalent atoms, fractional coordinates:
Ca1 0.000 0.500 0.000
Cd1 0.000 0.000 0.500
P1 0.500 0.500 0.500
Br1 0.500 0.500 0.000

---

9.
This record from Alexandria describes a relaxed SrCaHf3 crystal. The functional is PBE.

The calculation puts the formation energy at 1.7471 eV per atom. For the energy above the most stable polymorph in this dataset, the calculation gives 206 meV/atom.

a b c (Å): 5.318 5.318 5.318
angles (deg): 90.00 90.00 90.00
Space group Pm-3m (No. 221)
Inequivalent atoms, fractional coordinates:
Sr1 0.000 0.000 0.000
Ca1 0.500 0.500 0.500
Hf1 0.000 0.000 0.500

---

10.
This record from Alexandria describes a relaxed SrNdBr crystal. The functional is PBE.

For the uncorrected formation energy, the calculation gives -662 meV per atom.

a b c (Å): 3.9034 3.9034 41.2021
angles (deg): 90.00 90.00 120.00
Space group P-3m1 (No. 164)
Inequivalent atoms, fractional coordinates:
Sr1 0.3333 0.6667 0.3395
Sr2 0.3333 0.6667 0.4579
Nd1 0.3333 0.6667 0.7379
Nd2 0.3333 0.6667 0.8478
Br1 0.3333 0.6667 0.2061
Br2 0.3333 0.6667 0.6017

---

11.
This record from Alexandria describes a relaxed Sb2TeOs crystal. The functional is PBE.

For the uncorrected formation energy, the calculation gives 208 meV per atom.

a b c (Å): 3.171 3.168 9.777
angles (deg): 90.00 90.70 90.00
Space group P2/m (No. 10)
Inequivalent atoms, fractional coordinates:
Sb1 0.007 0.000 0.178
Te1 0.500 0.500 0.500
Os1 0.500 0.500 0.000

---

12.
This record from Alexandria describes a relaxed Tl2CdAs2 crystal. The functional is PBE.

The calculation puts the formation energy at 0.0974 eV per atom. For the energy above the most stable polymorph in this dataset, the calculation gives 79 meV/atom.

a b c (Å): 3.884 3.884 18.207
angles (deg): 90.00 90.00 90.00
Space group I4/mmm (No. 139)
Inequivalent atoms, fractional coordinates:
Tl1 0.000 0.000 0.110
Cd1 0.000 0.000 0.500
As1 0.000 0.500 0.250

---

13.
This record from Alexandria describes a relaxed CdAg2Rh crystal. The functional is PBE.

The calculation puts the formation energy at 0.1799 eV per atom.

a b c (Å): 3.026 4.779 9.723
angles (deg): 90.00 90.00 90.00
Space group Cmmm (No. 65)
Inequivalent atoms, fractional coordinates:
Cd1 0.000 0.000 0.000
Ag1 0.000 0.500 0.260
Rh1 0.000 0.000 0.500

---

14.
This record from Alexandria describes a relaxed NdAl4Au6 crystal. The functional is PBE.

The calculation puts the formation energy at -0.5367 eV per atom.

a b c (Å): 7.4326 7.4326 4.2842
angles (deg): 90.00 90.00 120.00
Space group P-6m2 (No. 187)
Inequivalent atoms, fractional coordinates:
Nd1 0.0000 0.0000 0.0000
Al1 0.2003 0.4006 0.5000
Al2 0.6667 0.3333 0.0000
Au1 0.0683 0.5341 0.0000
Au2 0.3901 0.1951 0.5000

---

15.
This record from Alexandria describes a relaxed Ca3Zn2Ir crystal. The functional is PBE.

The calculation puts the formation energy at -0.3560 eV per atom.

a b c (Å): 12.062 4.255 12.124
angles (deg): 90.00 90.00 90.00
Space group Pnma (No. 62)
Inequivalent atoms, fractional coordinates:
Ca1 0.054 0.250 0.126
Ca2 0.113 0.750 0.547
Ca3 0.225 0.250 0.790
Zn1 0.021 0.750 0.311
Zn2 0.201 0.750 0.986
Ir1 0.124 0.250 0.368

---

16.
This record from Alexandria describes a relaxed NbIn2Cl6 crystal. The functional is PBE.

For the uncorrected formation energy, the calculation gives -1080 meV per atom.

a b c (Å): 7.118 8.060 11.912
angles (deg): 90.00 124.11 90.00
Space group P2_1/c (No. 14)
Inequivalent atoms, fractional coordinates:
Nb1 0.000 0.000 0.000
In1 0.281 0.094 0.761
Cl1 0.144 0.031 0.239
Cl2 0.217 0.746 0.051
Cl3 0.324 0.161 0.037

---

17.
This record from Alexandria describes a relaxed TaSnBSb2 crystal. The functional is PBE.

For the uncorrected formation energy, the calculation gives 755 meV per atom.

a b c (Å): 4.932 4.932 4.459
angles (deg): 90.00 90.00 90.00
Space group P4/mmm (No. 123)
Inequivalent atoms, fractional coordinates:
Ta1 0.000 0.000 0.000
Sn1 0.500 0.500 0.000
B1 0.000 0.000 0.500
Sb1 0.000 0.500 0.500

---

18.
This record from Alexandria describes a relaxed Zr3CoCu crystal. The functional is PBE.

The calculation puts the formation energy at -0.1326 eV per atom. For the energy above the most stable polymorph in this dataset, the calculation gives 0 meV/atom.

a b c (Å): 9.290 6.086 7.264
angles (deg): 90.00 113.67 90.00
Space group C2/m (No. 12)
Inequivalent atoms, fractional coordinates:
Zr1 0.010 0.000 0.235
Zr2 0.198 0.500 0.868
Zr3 0.201 0.500 0.328
Co1 0.000 0.302 0.000
Cu1 0.000 0.300 0.500

---

19.
This record from Alexandria describes a relaxed TbScHg3 crystal. The functional is PBE.

The calculation puts the formation energy at -0.2188 eV per atom. For the energy above the most stable polymorph in this dataset, the calculation gives 132 meV/atom.

a b c (Å): 6.9216 6.9216 6.2812
angles (deg): 90.00 90.00 120.00
Space group P6_3/mmc (No. 194)
Inequivalent atoms, fractional coordinates:
Tb1 0.3333 0.6667 0.2500
Sc1 0.0000 0.0000 0.0000
Hg1 0.1953 0.3905 0.7500

---

20.
This record from Alexandria describes a relaxed DyTmPdAu crystal. The functional is PBE.

The calculation puts the formation energy at -0.9232 eV per atom. For the energy above the most stable polymorph in this dataset, the calculation gives 0 meV/atom.

a b c (Å): 4.651 3.711 10.581
angles (deg): 90.00 90.00 90.00
Space group Amm2 (No. 38)
Inequivalent atoms, fractional coordinates:
Dy1 0.000 0.000 0.000
Tm1 0.500 0.000 0.277
Pd1 0.000 0.000 0.728
Au1 0.500 0.000 0.554

---

21.
This record from Alexandria describes a relaxed Rb2Sn6Au3 crystal. The functional is PBE.

The calculation puts the formation energy at -0.2046 eV per atom.

a b c (Å): 8.6591 8.6591 4.9501
angles (deg): 90.00 90.00 120.00
Space group P-62m (No. 189)
Inequivalent atoms, fractional coordinates:
Rb1 0.3333 0.6667 0.0000
Sn1 0.0000 0.2028 0.0000
Sn2 0.0000 0.6822 0.5000
Au1 0.0000 0.3562 0.5000

---

22.
This record from Alexandria describes a relaxed SrCe2ErS4 crystal. The functional is PBE.

For the uncorrected formation energy, the calculation gives -1981 meV per atom.

a b c (Å): 6.999 4.016 7.060
angles (deg): 90.00 109.00 90.00
Space group P2/m (No. 10)
Inequivalent atoms, fractional coordinates:
Sr1 0.000 0.000 0.000
Ce1 0.000 0.500 0.500
Ce2 0.500 0.000 0.500
Er1 0.500 0.500 0.000
S1 0.262 0.500 0.249
S2 0.264 0.000 0.760

---

23.
This record from Alexandria describes a relaxed TaBeCu crystal. The functional is PBE.

The calculation puts the formation energy at -0.0262 eV per atom. For the energy above the most stable polymorph in this dataset, the calculation gives 67 meV/atom.

a b c (Å): 9.052 3.555 4.746
angles (deg): 90.00 92.68 90.00
Space group Cm (No. 8)
Inequivalent atoms, fractional coordinates:
Ta1 0.000 0.000 0.000
Ta2 0.080 0.500 0.493
Be1 0.204 0.500 0.015
Be2 0.274 0.000 0.245
Cu1 0.280 0.000 0.766
Cu2 0.367 0.500 0.472

---

24.
This record from Alexandria describes a relaxed Pr3YHo8 crystal. The functional is PBE.

The calculation puts the formation energy at 0.2894 eV per atom.

a b c (Å): 6.438 11.387 11.467
angles (deg): 90.00 90.00 90.00
Space group Immm (No. 71)
Inequivalent atoms, fractional coordinates:
Pr1 0.000 0.000 0.000
Pr2 0.000 0.500 0.246
Y1 0.000 0.000 0.500
Ho1 0.000 0.170 0.251
Ho2 0.248 0.255 0.000